No. 1
Lu2FeB6 | PBE | relaxed

Output
- Crystal system: orthorhombic
- Electronic total energy: -7.070 eV per atom
- Size of the total moment: 0.00 μB/f.u.
- Space group: Pbam (55)

```
Lu2FeB6
1.0
8.956 0.000 0.000
0.000 11.303 0.000
0.000 0.000 3.470
B Fe Lu
24 4 8
Direct
0.608 0.030 0.500
0.054 0.067 0.500
0.248 0.081 0.500
0.632 0.185 0.500
0.985 0.212 0.500
0.291 0.234 0.500
0.791 0.266 0.500
0.485 0.288 0.500
0.132 0.315 0.500
0.748 0.419 0.500
0.554 0.433 0.500
0.108 0.470 0.500
0.892 0.530 0.500
0.446 0.567 0.500
0.252 0.581 0.500
0.868 0.685 0.500
0.515 0.712 0.500
0.209 0.734 0.500
0.709 0.766 0.500
0.015 0.788 0.500
0.368 0.815 0.500
0.752 0.919 0.500
0.946 0.933 0.500
0.392 0.970 0.500
0.139 0.180 0.000
0.639 0.320 0.000
0.361 0.680 0.000
0.861 0.820 0.000
0.823 0.086 0.000
0.444 0.129 0.000
0.944 0.371 0.000
0.323 0.414 0.000
0.677 0.586 0.000
0.056 0.629 0.000
0.556 0.871 0.000
0.177 0.914 0.000
```

=====

No. 2
LuFeB4 | PBE | relaxed

Output
- Crystal system: orthorhombic
- Electronic total energy: -7.249 eV per atom
- Size of the total moment: 0.00 μB/f.u.
- Space group: Pbam (55)

```
LuFeB4
1.0
-3.895 -0.031 4.333
-1.729 -11.012 -1.633
2.413 -0.700 2.164
B Fe Lu
16 4 4
Direct
0.863 0.032 0.500
0.388 0.047 0.500
0.785 0.184 0.500
0.476 0.192 0.500
0.976 0.308 0.500
0.285 0.316 0.500
0.888 0.453 0.500
0.363 0.468 0.500
0.637 0.532 0.500
0.112 0.547 0.500
0.715 0.684 0.500
0.024 0.692 0.500
0.524 0.808 0.500
0.215 0.816 0.500
0.612 0.953 0.500
0.137 0.968 0.500
0.634 0.089 0.000
0.134 0.411 0.000
0.866 0.589 0.000
0.366 0.911 0.000
0.128 0.150 0.000
0.628 0.350 0.000
0.372 0.650 0.000
0.872 0.850 0.000
```

=====

No. 3
LuFeB | PBE | relaxed

Output
- Crystal system: cubic
- Energy relative to the lowest polymorph listed for this composition: 0.6850 eV per atom
- Electronic total energy: -5.195 eV per atom
- Size of the total moment: 1.90 μB/f.u.
- Space group: F-43m (216)

```
LuFeB
1.0
3.840 -1.304 0.763
0.613 -3.593 1.937
1.533 -3.225 -2.069
B Fe Lu
1 1 1
Direct
0.250 0.250 0.250
0.750 0.750 0.750
0.000 0.000 0.000
```

=====

No. 4
Lu2FeB | PBE | relaxed

Output
- Crystal system: cubic
- Electronic total energy: -5.445 eV per atom
- Size of the total moment: 0.99 μB/f.u.
- Space group: F-43m (216)

```
Lu2FeB
1.0
0.000 3.134 3.134
3.134 0.000 3.134
3.134 3.134 0.000
B Fe Lu
1 1 2
Direct
0.500 0.500 0.500
0.250 0.250 0.250
0.000 0.000 0.000
0.750 0.750 0.750
```

=====

No. 5
Lu2Fe14B | PBE | relaxed

Output
- Crystal system: tetragonal
- Electronic total energy: -7.893 eV per atom
- Size of the total moment: 30.68 μB/f.u.
- Space group: P4_2/mnm (136)

```
Lu2Fe14B
1.0
-1.947 7.775 3.342
2.820 -2.638 7.779
10.819 3.835 -2.621
B Fe Lu
4 56 8
Direct
0.875 0.125 0.000
0.125 0.875 0.000
0.375 0.375 0.500
0.625 0.625 0.500
0.500 0.000 0.000
0.000 0.500 0.000
0.000 0.000 0.117
0.724 0.066 0.126
0.934 0.276 0.126
0.066 0.724 0.126
0.276 0.934 0.126
0.462 0.142 0.174
0.142 0.462 0.174
0.858 0.538 0.174
0.538 0.858 0.174
0.403 0.403 0.198
0.597 0.597 0.198
0.183 0.183 0.246
0.817 0.817 0.246
0.683 0.317 0.254
0.317 0.683 0.254
0.903 0.097 0.302
0.097 0.903 0.302
0.642 0.038 0.326
0.962 0.358 0.326
0.038 0.642 0.326
0.358 0.962 0.326
0.434 0.224 0.374
0.224 0.434 0.374
0.776 0.566 0.374
0.566 0.776 0.374
0.500 0.500 0.383
0.500 0.000 0.500
0.000 0.500 0.500
0.500 0.500 0.617
0.434 0.224 0.626
0.224 0.434 0.626
0.776 0.566 0.626
0.566 0.776 0.626
0.642 0.038 0.674
0.962 0.358 0.674
0.038 0.642 0.674
0.358 0.962 0.674
0.903 0.097 0.698
0.097 0.903 0.698
0.683 0.317 0.746
0.317 0.683 0.746
0.183 0.183 0.754
0.817 0.817 0.754
0.403 0.403 0.802
0.597 0.597 0.802
0.462 0.142 0.826
0.142 0.462 0.826
0.858 0.538 0.826
0.538 0.858 0.826
0.724 0.066 0.874
0.934 0.276 0.874
0.066 0.724 0.874
0.276 0.934 0.874
0.000 0.000 0.883
0.233 0.233 0.000
0.643 0.357 0.000
0.357 0.643 0.000
0.767 0.767 0.000
0.143 0.143 0.500
0.733 0.267 0.500
0.267 0.733 0.500
0.857 0.857 0.500
```

=====

No. 6
LuMgFeB | PBE | relaxed

Output
- Crystal system: cubic
- Energy relative to the lowest polymorph listed for this composition: 0.1946 eV per atom
- Electronic total energy: -4.601 eV per atom
- Size of the total moment: 2.00 μB/f.u.
- Space group: F-43m (216)

```
LuMgFeB
1.0
-2.133 -3.017 2.243
-4.317 0.097 0.191
-2.323 -2.997 -2.075
B Fe Lu Mg
1 1 1 1
Direct
0.000 0.000 0.000
0.750 0.750 0.750
0.500 0.500 0.500
0.250 0.250 0.250
```

=====

No. 7
LuMgFeB | PBE | relaxed

Output
- Crystal system: cubic
- Energy relative to the lowest polymorph listed for this composition: 0.0000 eV per atom
- Electronic total energy: -4.796 eV per atom
- Size of the total moment: 1.91 μB/f.u.
- Space group: F-43m (216)

```
LuMgFeB
1.0
0.000 3.072 3.072
3.072 0.000 3.072
3.072 3.072 0.000
B Fe Lu Mg
1 1 1 1
Direct
0.000 0.000 0.000
0.750 0.750 0.750
0.250 0.250 0.250
0.500 0.500 0.500
```

=====

No. 8
LuNbFeB | PBE | relaxed

Output
- Crystal system: cubic
- Energy relative to the lowest polymorph listed for this composition: 0.1554 eV per atom
- Electronic total energy: -6.667 eV per atom
- Size of the total moment: 1.06 μB/f.u.
- Space group: F-43m (216)

```
LuNbFeB
1.0
-3.870 -1.473 -1.142
-3.484 2.447 0.571
-2.023 1.682 -3.395
B Fe Lu Nb
1 1 1 1
Direct
0.000 0.000 0.000
0.750 0.750 0.750
0.500 0.500 0.500
0.250 0.250 0.250
```

=====

No. 9
LuNbFeB | PBE | relaxed

Output
- Crystal system: cubic
- Energy relative to the lowest polymorph listed for this composition: 0.0000 eV per atom
- Electronic total energy: -6.823 eV per atom
- Size of the total moment: 0.01 μB/f.u.
- Space group: F-43m (216)

```
LuNbFeB
1.0
0.737 -1.449 3.993
-2.641 -2.921 1.756
1.360 -4.046 0.609
B Fe Lu Nb
1 1 1 1
Direct
0.000 0.000 0.000
0.750 0.750 0.750
0.250 0.250 0.250
0.500 0.500 0.500
```

=====

No. 10
LuFeBOs | PBE | relaxed

Output
- Crystal system: cubic
- Energy relative to the lowest polymorph listed for this composition: 0.0070 eV per atom
- Electronic total energy: -7.061 eV per atom
- Size of the total moment: 3.58 μB/f.u.
- Space group: F-43m (216)

```
LuFeBOs
1.0
0.000 3.086 3.086
3.086 0.000 3.086
3.086 3.086 0.000
B Fe Lu Os
1 1 1 1
Direct
0.000 0.000 0.000
0.750 0.750 0.750
0.250 0.250 0.250
0.500 0.500 0.500
```

=====

No. 11
LuFeBOs | PBE | relaxed

Output
- Crystal system: cubic
- Energy relative to the lowest polymorph listed for this composition: 0.0000 eV per atom
- Electronic total energy: -7.068 eV per atom
- Size of the total moment: 1.81 μB/f.u.
- Space group: F-43m (216)

```
LuFeBOs
1.0
0.000 3.002 3.002
3.002 0.000 3.002
3.002 3.002 0.000
B Fe Lu Os
1 1 1 1
Direct
0.000 0.000 0.000
0.750 0.750 0.750
0.500 0.500 0.500
0.250 0.250 0.250
```

=====

No. 12
LuFeBPd | PBE | relaxed

Output
- Crystal system: cubic
- Energy relative to the lowest polymorph listed for this composition: 0.0579 eV per atom
- Electronic total energy: -5.913 eV per atom
- Size of the total moment: 0.07 μB/f.u.
- Space group: F-43m (216)

```
LuFeBPd
1.0
-4.166 -0.484 0.674
-2.739 2.899 -1.464
-2.578 -0.958 -3.238
B Fe Lu Pd
1 1 1 1
Direct
0.000 0.000 0.000
0.750 0.750 0.750
0.500 0.500 0.500
0.250 0.250 0.250
```

=====

No. 13
LuFeBPd | PBE | relaxed

Output
- Crystal system: cubic
- Energy relative to the lowest polymorph listed for this composition: 0.0000 eV per atom
- Electronic total energy: -5.971 eV per atom
- Size of the total moment: 2.66 μB/f.u.
- Space group: F-43m (216)

```
LuFeBPd
1.0
-2.656 -3.319 1.082
-3.610 0.764 2.371
-3.958 -0.338 -1.861
B Fe Lu Pd
1 1 1 1
Direct
0.000 0.000 0.000
0.750 0.750 0.750
0.250 0.250 0.250
0.500 0.500 0.500
```

=====

No. 14
LuFeBPt | PBE | relaxed

Output
- Crystal system: cubic
- Energy relative to the lowest polymorph listed for this composition: 0.0884 eV per atom
- Electronic total energy: -6.161 eV per atom
- Size of the total moment: 1.72 μB/f.u.
- Space group: F-43m (216)

```
LuFeBPt
1.0
0.000 3.043 3.043
3.043 0.000 3.043
3.043 3.043 0.000
B Fe Lu Pt
1 1 1 1
Direct
0.000 0.000 0.000
0.750 0.750 0.750
0.500 0.500 0.500
0.250 0.250 0.250
```

=====

No. 15
LuFeBPt | PBE | relaxed

Output
- Crystal system: cubic
- Energy relative to the lowest polymorph listed for this composition: 0.0000 eV per atom
- Electronic total energy: -6.249 eV per atom
- Size of the total moment: 2.95 μB/f.u.
- Space group: F-43m (216)

```
LuFeBPt
1.0
1.532 -3.016 -2.858
-0.359 -4.315 0.930
-2.832 -2.528 -2.280
B Fe Lu Pt
1 1 1 1
Direct
0.000 0.000 0.000
0.750 0.750 0.750
0.250 0.250 0.250
0.500 0.500 0.500
```

=====

No. 16
Lu2FeB4Pt4 | PBE | relaxed

Output
- Crystal system: orthorhombic
- Electronic total energy: -6.785 eV per atom
- Size of the total moment: 0.00 μB/f.u.
- Space group: Fmmm (69)

```
Lu2FeB4Pt4
1.0
-6.541 -3.069 2.079
-4.084 0.243 5.220
-4.438 1.567 -2.172
B Fe Lu Pt
4 1 2 4
Direct
0.529 0.750 0.250
0.750 0.529 0.471
0.250 0.471 0.529
0.471 0.250 0.750
0.500 0.500 0.500
0.865 0.865 0.135
0.135 0.135 0.865
0.500 0.500 0.000
0.250 0.250 0.250
0.000 0.000 0.500
0.750 0.750 0.750
```

=====

No. 17
LuScFeB | PBE | relaxed

Output
- Crystal system: cubic
- Energy relative to the lowest polymorph listed for this composition: 0.0000 eV per atom
- Electronic total energy: -6.058 eV per atom
- Size of the total moment: 0.88 μB/f.u.
- Space group: F-43m (216)

```
LuScFeB
1.0
0.000 3.061 3.061
3.061 0.000 3.061
3.061 3.061 0.000
B Fe Lu Sc
1 1 1 1
Direct
0.000 0.000 0.000
0.750 0.750 0.750
0.250 0.250 0.250
0.500 0.500 0.500
```

=====

No. 18
LuFeTcB | PBE | relaxed

Output
- Crystal system: cubic
- Energy relative to the lowest polymorph listed for this composition: 0.0000 eV per atom
- Electronic total energy: -6.888 eV per atom
- Size of the total moment: 2.26 μB/f.u.
- Space group: F-43m (216)

```
LuFeTcB
1.0
0.000 2.993 2.993
2.993 0.000 2.993
2.993 2.993 0.000
B Fe Lu Tc
1 1 1 1
Direct
0.000 0.000 0.000
0.750 0.750 0.750
0.500 0.500 0.500
0.250 0.250 0.250
```

=====

No. 19
LuFeTcB | PBE | relaxed

Output
- Crystal system: cubic
- Energy relative to the lowest polymorph listed for this composition: 0.0229 eV per atom
- Electronic total energy: -6.865 eV per atom
- Size of the total moment: 2.97 μB/f.u.
- Space group: F-43m (216)

```
LuFeTcB
1.0
3.084 -2.818 1.090
-0.804 -3.044 2.954
-0.333 -4.135 -1.197
B Fe Lu Tc
1 1 1 1
Direct
0.000 0.000 0.000
0.750 0.750 0.750
0.250 0.250 0.250
0.500 0.500 0.500
```

=====

No. 20
YLuFeB | PBE | relaxed

Output
- Crystal system: cubic
- Energy relative to the lowest polymorph listed for this composition: 0.0000 eV per atom
- Electronic total energy: -5.892 eV per atom
- Size of the total moment: 1.00 μB/f.u.
- Space group: F-43m (216)

```
YLuFeB
1.0
-2.113 -3.418 2.017
-4.493 -0.100 0.135
-2.256 -3.013 -2.458
B Fe Lu Y
1 1 1 1
Direct
0.000 0.000 0.000
0.750 0.750 0.750
0.500 0.500 0.500
0.250 0.250 0.250
```

=====

No. 21
MgFeB | PBE | relaxed

Output
- Crystal system: cubic
- Energy relative to the lowest polymorph listed for this composition: 0.0000 eV per atom
- Electronic total energy: -5.173 eV per atom
- Size of the total moment: 0.01 μB/f.u.
- Space group: F-43m (216)

```
MgFeB
1.0
-3.228 -1.358 -1.055
-2.678 2.258 -1.052
-0.986 0.153 -3.519
B Fe Mg
1 1 1
Direct
0.000 0.000 0.000
0.250 0.250 0.250
0.750 0.750 0.750
```

=====

No. 22
MgFe2B | PBE | relaxed

Output
- Crystal system: cubic
- Electronic total energy: -6.018 eV per atom
- Size of the total moment: 2.41 μB/f.u.
- Space group: Pm-3m (221)

```
MgFe2B
1.0
-3.268 2.731 3.592
-4.503 -1.706 -2.801
-0.273 -4.547 3.208
B Fe Mg
4 8 4
Direct
0.000 0.000 0.000
0.500 0.000 0.000
0.000 0.500 0.000
0.000 0.000 0.500
0.215 0.215 0.215
0.785 0.215 0.215
0.215 0.785 0.215
0.785 0.785 0.215
0.215 0.215 0.785
0.785 0.215 0.785
0.215 0.785 0.785
0.785 0.785 0.785
0.500 0.500 0.000
0.500 0.000 0.500
0.000 0.500 0.500
0.500 0.500 0.500
```

=====

Number 1: V 351.3 Å³/cell. Number 2: V 217.7 Å³/cell. Number 3: V 49.7 Å³/cell. Number 4: V 61.5 Å³/cell. Number 5: V 887.9 Å³/cell. Number 6: V 57.1 Å³/cell. Number 7: V 58.0 Å³/cell. Number 8: V 56.0 Å³/cell. Number 9: V 56.7 Å³/cell. Number 10: V 58.8 Å³/cell. Number 11: V 54.1 Å³/cell. Number 12: V 54.2 Å³/cell. Number 13: V 59.7 Å³/cell. Number 14: V 56.3 Å³/cell. Number 15: V 61.4 Å³/cell. Number 16: V 144.2 Å³/cell. Number 17: V 57.3 Å³/cell. Number 18: V 53.6 Å³/cell. Number 19: V 56.9 Å³/cell. Number 20: V 64.3 Å³/cell. Number 21: V 34.6 Å³/cell. Number 22: V 172.9 Å³/cell.